No. 1
{"formula": "Y2TeSe", "functional": "meta-GGA SCAN", "state": "PBEsol geometry", "lattice": [[4.091, 0.000, 0.000], [0.000, 4.091, 0.000], [0.000, 0.000, 6.134]], "species": ["Y", "Y", "Te", "Se"], "fractional_positions": [[0.000, 0.000, 0.000], [0.500, 0.500, 0.391], [0.500, 0.500, 0.893], [0.000, 0.000, 0.467]], "volume_a3_per_cell": 102.6, "polymorph_energy_ev_per_atom": 0.059}

No. 2
{"formula": "Y2TeSe", "functional": "meta-GGA SCAN", "state": "PBEsol geometry", "lattice": [[4.170, 0.000, 0.000], [0.000, 4.170, 0.000], [0.000, 0.000, 5.907]], "species": ["Y", "Y", "Te", "Se"], "fractional_positions": [[0.000, 0.000, 0.000], [0.500, 0.500, 0.500], [0.000, 0.000, 0.500], [0.500, 0.500, 0.000]], "volume_a3_per_cell": 102.7, "polymorph_energy_ev_per_atom": 0.079}

No. 3
{"formula": "Zn2TeSe", "functional": "meta-GGA SCAN", "state": "PBEsol geometry", "lattice": [[-2.926, 2.926, 5.842], [2.926, -2.926, 5.842], [2.926, 2.926, -5.842]], "species": ["Zn", "Zn", "Zn", "Zn", "Te", "Te", "Se", "Se"], "fractional_positions": [[0.101, 0.625, 0.976], [0.375, 0.351, 0.476], [0.649, 0.125, 0.024], [0.875, 0.899, 0.524], [0.250, 0.750, 0.500], [0.500, 0.500, 0.000], [0.000, 0.000, 0.000], [0.750, 0.250, 0.500]], "volume_a3_per_cell": 200.1, "polymorph_energy_ev_per_atom": 0.000}

No. 4
{"formula": "ZnTeSe3", "functional": "meta-GGA SCAN", "state": "PBEsol geometry", "lattice": [[4.819, 0.000, 0.000], [0.000, 4.819, 0.000], [0.000, 0.000, 4.819]], "species": ["Zn", "Te", "Se", "Se", "Se"], "fractional_positions": [[0.000, 0.000, 0.000], [0.500, 0.500, 0.500], [0.000, 0.000, 0.500], [0.000, 0.500, 0.000], [0.500, 0.000, 0.000]], "volume_a3_per_cell": 111.9, "polymorph_energy_ev_per_atom": 0.000}

No. 5
{"formula": "Zn2TeSe", "functional": "meta-GGA SCAN", "state": "PBEsol geometry", "lattice": [[1.875, -3.328, 0.000], [1.875, 3.328, 0.000], [0.000, 0.000, 7.337]], "species": ["Zn", "Zn", "Te", "Se"], "fractional_positions": [[0.000, 0.000, 0.228], [0.000, 0.000, 0.772], [0.500, 0.500, 0.500], [0.500, 0.500, 0.000]], "volume_a3_per_cell": 91.6, "polymorph_energy_ev_per_atom": 0.587}

No. 6
{"formula": "ZnTe2Se", "functional": "meta-GGA SCAN", "state": "PBEsol geometry", "lattice": [[0.000, 3.546, 3.546], [3.546, 0.000, 3.546], [3.546, 3.546, 0.000]], "species": ["Zn", "Te", "Te", "Se"], "fractional_positions": [[0.000, 0.000, 0.000], [0.250, 0.250, 0.250], [0.750, 0.750, 0.750], [0.500, 0.500, 0.500]], "volume_a3_per_cell": 89.2}

No. 7
{"formula": "ZnTe2Se", "functional": "meta-GGA SCAN", "state": "PBEsol geometry", "lattice": [[-2.054, 2.054, 5.755], [2.054, -2.054, 5.755], [2.054, 2.054, -5.755]], "species": ["Zn", "Te", "Te", "Se"], "fractional_positions": [[0.000, 0.000, 0.000], [0.251, 0.251, 0.000], [0.509, 0.509, 0.000], [0.771, 0.771, 0.000]], "volume_a3_per_cell": 97.2}

No. 8
{"formula": "Zn2TeSe", "functional": "meta-GGA SCAN", "state": "PBEsol geometry", "lattice": [[2.948, -3.866, 0.000], [2.948, 3.866, 0.000], [-1.926, 0.000, 3.721]], "species": ["Zn", "Zn", "Te", "Se"], "fractional_positions": [[0.000, 0.500, 0.000], [0.500, 0.000, 0.000], [0.000, 0.000, 0.500], [0.500, 0.500, 0.500]], "volume_a3_per_cell": 84.8, "polymorph_energy_ev_per_atom": 0.631}

No. 9
{"formula": "Zn2TeSe", "functional": "meta-GGA SCAN", "state": "PBEsol geometry", "lattice": [[2.071, 1.196, 6.760], [-2.071, 1.196, 6.760], [0.000, -2.391, 6.760]], "species": ["Zn", "Zn", "Te", "Se"], "fractional_positions": [[0.000, 0.000, 0.000], [0.490, 0.490, 0.490], [0.619, 0.619, 0.619], [0.120, 0.120, 0.120]], "volume_a3_per_cell": 100.4, "polymorph_energy_ev_per_atom": 0.016}

No. 10
{"formula": "Zn2TeSe", "functional": "meta-GGA SCAN", "state": "PBEsol geometry", "lattice": [[3.368, 0.000, 0.000], [0.000, 3.368, 0.000], [0.000, 0.000, 6.966]], "species": ["Zn", "Zn", "Te", "Se"], "fractional_positions": [[0.000, 0.000, 0.208], [0.000, 0.000, 0.792], [0.500, 0.500, 0.500], [0.500, 0.500, 0.000]], "volume_a3_per_cell": 79.0, "polymorph_energy_ev_per_atom": 0.825}

No. 11
{"formula": "Zn2TeSe", "functional": "meta-GGA SCAN", "state": "PBEsol geometry", "lattice": [[3.082, -3.574, 0.000], [3.082, 3.574, 0.000], [0.000, 0.000, 3.618]], "species": ["Zn", "Zn", "Te", "Se"], "fractional_positions": [[0.000, 0.500, 0.000], [0.500, 0.000, 0.000], [0.000, 0.000, 0.500], [0.500, 0.500, 0.500]], "volume_a3_per_cell": 79.7, "polymorph_energy_ev_per_atom": 0.859}

No. 12
{"formula": "ZnTeSe3", "functional": "meta-GGA SCAN", "state": "PBEsol geometry", "lattice": [[5.259, 0.000, 0.000], [0.000, 5.259, 0.000], [0.000, 0.000, 5.259]], "species": ["Zn", "Te", "Se", "Se", "Se"], "fractional_positions": [[0.000, 0.000, 0.000], [0.500, 0.500, 0.500], [0.000, 0.500, 0.500], [0.500, 0.000, 0.500], [0.500, 0.500, 0.000]], "volume_a3_per_cell": 145.5, "polymorph_energy_ev_per_atom": 0.210}

Calculated formation energy without anion corrections, -1.68; -1.66; -0.62; 0.40; -0.04; 0.41; -0.04; 0.01; -0.61; 0.20; 0.23; 0.61 eV per atom (same order as the records).